1.
Ba2TlSnHg6 | GGA-PBE | relaxed

Output
**Calculated volume**: 372 Å³/cell
**DFT formation energy**: -97 meV per atom
**Raw total energy**: -1.2992 eV per atom

```
data_Ba2TlSnHg6
_space_group_name_H-M_alt 'P 1'
_space_group_IT_number 1
_cell_length_a 8.0721
_cell_length_b 8.0721
_cell_length_c 8.0721
_cell_angle_alpha 60.00
_cell_angle_beta 60.00
_cell_angle_gamma 90.00
loop_
_space_group_symop_operation_xyz
'x,y,z'
loop_
_atom_site_label
_atom_site_type_symbol
_atom_site_fract_x
_atom_site_fract_y
_atom_site_fract_z
Ba1 Ba 0.2500 0.7500 0.5000
Ba2 Ba 0.7500 0.2500 0.5000
Tl1 Tl 0.5000 0.5000 0.0000
Sn1 Sn 0.0000 0.0000 0.0000
Hg1 Hg 0.2484 0.7516 0.0000
Hg2 Hg 0.7516 0.7516 0.0000
Hg3 Hg 0.2484 0.2484 0.5031
Hg4 Hg 0.7516 0.2484 0.0000
Hg5 Hg 0.2484 0.2484 0.0000
Hg6 Hg 0.7516 0.7516 0.4969
```

***

2.
BaTlSnHg2 | GGA-PBE | relaxed

Output
**Calculated volume**: 159 Å³/cell
**DFT formation energy**: -350 meV per atom
**Raw total energy**: -2.1286 eV per atom

```
data_BaTlSnHg2
_space_group_name_H-M_alt 'P 1'
_space_group_IT_number 1
_cell_length_a 5.0628
_cell_length_b 5.0957
_cell_length_c 7.1258
_cell_angle_alpha 110.95
_cell_angle_beta 110.81
_cell_angle_gamma 90.00
loop_
_space_group_symop_operation_xyz
'x,y,z'
loop_
_atom_site_label
_atom_site_type_symbol
_atom_site_fract_x
_atom_site_fract_y
_atom_site_fract_z
Ba1 Ba 0.4478 0.4478 0.8955
Tl1 Tl 0.1873 0.6873 0.3747
Sn1 Sn 0.8276 0.8276 0.6553
Hg1 Hg 0.6920 0.1920 0.3840
Hg2 Hg 0.0574 0.0574 0.1149
```

***

3.
Ba2Tl3SnHg4 | GGA-PBE | relaxed

Output
**Calculated volume**: 323 Å³/cell
**DFT formation energy**: -305 meV per atom
**Raw total energy**: -1.9208 eV per atom

```
data_Ba2Tl3SnHg4
_space_group_name_H-M_alt 'P 1'
_space_group_IT_number 1
_cell_length_a 5.1381
_cell_length_b 5.1381
_cell_length_c 12.2174
_cell_angle_alpha 90.00
_cell_angle_beta 90.00
_cell_angle_gamma 90.00
loop_
_space_group_symop_operation_xyz
'x,y,z'
loop_
_atom_site_label
_atom_site_type_symbol
_atom_site_fract_x
_atom_site_fract_y
_atom_site_fract_z
Ba1 Ba 0.5000 0.0000 0.2487
Ba2 Ba 0.0000 0.5000 0.7513
Tl1 Tl 0.0000 0.0000 0.5000
Tl2 Tl 0.5000 0.0000 0.8699
Tl3 Tl 0.0000 0.5000 0.1301
Sn1 Sn 0.5000 0.5000 0.5000
Hg1 Hg 0.5000 0.5000 0.0000
Hg2 Hg 0.0000 0.0000 0.0000
Hg3 Hg 0.5000 0.0000 0.6319
Hg4 Hg 0.0000 0.5000 0.3681
```

***

4.
Ba2TlSn4Hg3 | GGA-PBE | relaxed

Output
**Calculated volume**: 313 Å³/cell
**DFT formation energy**: -354 meV per atom
**Raw total energy**: -2.6665 eV per atom

```
data_Ba2TlSn4Hg3
_space_group_name_H-M_alt 'P 1'
_space_group_IT_number 1
_cell_length_a 5.0941
_cell_length_b 5.0941
_cell_length_c 12.0693
_cell_angle_alpha 90.00
_cell_angle_beta 90.00
_cell_angle_gamma 90.00
loop_
_space_group_symop_operation_xyz
'x,y,z'
loop_
_atom_site_label
_atom_site_type_symbol
_atom_site_fract_x
_atom_site_fract_y
_atom_site_fract_z
Ba1 Ba 0.5000 0.0000 0.2509
Ba2 Ba 0.0000 0.5000 0.7491
Tl1 Tl 0.5000 0.5000 0.5000
Sn1 Sn 0.5000 0.5000 0.0000
Sn2 Sn 0.0000 0.0000 0.0000
Sn3 Sn 0.5000 0.0000 0.6330
Sn4 Sn 0.0000 0.5000 0.3670
Hg1 Hg 0.0000 0.0000 0.5000
Hg2 Hg 0.5000 0.0000 0.8671
Hg3 Hg 0.0000 0.5000 0.1329
```

***

5.
BaTmSnHg | GGA-PBE | relaxed

Output
**Calculated volume**: 125 Å³/cell
**DFT formation energy**: -422 meV per atom
**Raw total energy**: -3.0968 eV per atom

```
data_BaTmSnHg
_space_group_name_H-M_alt 'P 1'
_space_group_IT_number 1
_cell_length_a 5.6068
_cell_length_b 5.6068
_cell_length_c 5.6068
_cell_angle_alpha 60.00
_cell_angle_beta 60.00
_cell_angle_gamma 60.00
loop_
_space_group_symop_operation_xyz
'x,y,z'
loop_
_atom_site_label
_atom_site_type_symbol
_atom_site_fract_x
_atom_site_fract_y
_atom_site_fract_z
Tm1 Tm 0.5000 0.5000 0.5000
Hg1 Hg 0.2500 0.2500 0.2500
Sn1 Sn 0.7500 0.7500 0.7500
Ba1 Ba 0.0000 0.0000 0.0000
```

***

6.
BaYSnHg | GGA-PBE | relaxed

Output
**Calculated volume**: 127 Å³/cell
**DFT formation energy**: -470 meV per atom
**Raw total energy**: -3.6425 eV per atom

```
data_BaYSnHg
_space_group_name_H-M_alt 'P 1'
_space_group_IT_number 1
_cell_length_a 5.6386
_cell_length_b 5.6386
_cell_length_c 5.6386
_cell_angle_alpha 60.00
_cell_angle_beta 60.00
_cell_angle_gamma 60.00
loop_
_space_group_symop_operation_xyz
'x,y,z'
loop_
_atom_site_label
_atom_site_type_symbol
_atom_site_fract_x
_atom_site_fract_y
_atom_site_fract_z
Y1 Y 0.7500 0.7500 0.7500
Hg1 Hg 0.5000 0.5000 0.5000
Sn1 Sn 0.0000 0.0000 0.0000
Ba1 Ba 0.2500 0.2500 0.2500
```

***

7.
Ba2ZnSn2Hg4 | GGA-PBE | relaxed

Output
**Calculated volume**: 268 Å³/cell
**DFT formation energy**: -345 meV per atom
**Raw total energy**: -1.9378 eV per atom

```
data_Ba2ZnSn2Hg4
_space_group_name_H-M_alt 'P 1'
_space_group_IT_number 1
_cell_length_a 7.2838
_cell_length_b 7.2838
_cell_length_c 7.2838
_cell_angle_alpha 87.76
_cell_angle_beta 121.30
_cell_angle_gamma 121.30
loop_
_space_group_symop_operation_xyz
'x,y,z'
loop_
_atom_site_label
_atom_site_type_symbol
_atom_site_fract_x
_atom_site_fract_y
_atom_site_fract_z
Ba1 Ba 0.5000 0.7500 0.2500
Ba2 Ba 0.5000 0.2500 0.7500
Zn1 Zn 0.0000 0.0000 0.0000
Sn1 Sn 0.0000 0.6952 0.6952
Sn2 Sn 0.0000 0.3048 0.3048
Hg1 Hg 0.0000 0.7317 0.2683
Hg2 Hg 0.4634 0.7317 0.7317
Hg3 Hg 0.0000 0.2683 0.7317
Hg4 Hg 0.5366 0.2683 0.2683
```

***

8.
Ba2ZnSn4Hg3 | GGA-PBE | relaxed

Output
**Calculated volume**: 296 Å³/cell
**DFT formation energy**: -386 meV per atom
**Raw total energy**: -2.5898 eV per atom

```
data_Ba2ZnSn4Hg3
_space_group_name_H-M_alt 'P 1'
_space_group_IT_number 1
_cell_length_a 4.9771
_cell_length_b 4.9771
_cell_length_c 11.9655
_cell_angle_alpha 90.00
_cell_angle_beta 90.00
_cell_angle_gamma 90.00
loop_
_space_group_symop_operation_xyz
'x,y,z'
loop_
_atom_site_label
_atom_site_type_symbol
_atom_site_fract_x
_atom_site_fract_y
_atom_site_fract_z
Ba1 Ba 0.5000 0.0000 0.2615
Ba2 Ba 0.0000 0.5000 0.7385
Zn1 Zn 0.5000 0.5000 0.5000
Sn1 Sn 0.5000 0.5000 0.0000
Sn2 Sn 0.0000 0.0000 0.0000
Sn3 Sn 0.5000 0.0000 0.6223
Sn4 Sn 0.0000 0.5000 0.3777
Hg1 Hg 0.0000 0.0000 0.5000
Hg2 Hg 0.5000 0.0000 0.8590
Hg3 Hg 0.0000 0.5000 0.1410
```